A plane-wave DFT calculation with PBE was carried out for crystalline La3Ga5S12 at its relaxed geometry.

extended XYZ file:
```
80
Lattice="-7.685 7.685 7.685 7.685 -7.685 7.685 7.685 7.685 -7.685" Properties=species:S:1:pos:R:3 pbc="T T T"
La 3.843 1.921 0.000
La 7.685 3.843 -1.921
La 1.921 0.000 3.843
La 9.607 0.000 3.843
La 0.000 3.843 1.921
La 3.843 -1.921 7.685
La 3.843 9.607 0.000
La 7.685 3.843 5.764
La -1.921 7.685 3.843
La 5.764 7.685 3.843
La 0.000 3.843 9.607
La 3.843 5.764 7.685
Ga 0.000 0.000 0.000
Ga 3.843 3.843 -3.843
Ga 3.843 -3.843 3.843
Ga 7.685 0.000 0.000
Ga 11.528 1.921 0.000
Ga 7.685 -3.843 5.764
Ga 5.764 7.685 -3.843
Ga 5.764 0.000 3.843
Ga 3.843 5.764 0.000
Ga 7.685 3.843 1.921
Ga -3.843 3.843 3.843
Ga 0.000 7.685 0.000
Ga 0.000 0.000 7.685
Ga 3.843 3.843 3.843
Ga 0.000 3.843 5.764
Ga 3.843 1.921 7.685
Ga 1.921 7.685 3.843
Ga 1.921 0.000 11.528
Ga 0.000 11.528 1.921
Ga -3.843 5.764 7.685
S 2.284 -0.455 0.867
S 9.244 4.709 -4.297
S 9.970 0.455 0.867
S 9.244 -2.976 4.297
S 7.231 -0.867 2.284
S 11.983 -1.558 2.976
S 0.867 2.284 -0.455
S 10.661 3.388 -1.558
S 4.709 4.297 -1.558
S 6.819 2.284 0.455
S -0.455 0.867 2.284
S 4.297 -1.558 4.709
S 7.231 6.819 -2.284
S 4.297 1.558 2.976
S 4.709 -4.297 9.244
S 6.819 -2.284 7.231
S 2.976 4.297 1.558
S 8.552 5.401 0.455
S 4.297 9.244 -2.976
S 7.231 0.867 5.401
S 2.284 7.231 -0.867
S 9.244 2.976 3.388
S 1.558 2.976 4.297
S 2.284 0.455 6.819
S 5.401 7.231 0.867
S 6.127 4.709 3.388
S -1.558 4.709 4.297
S 5.401 0.455 8.552
S 0.455 6.819 2.284
S 3.388 -1.558 10.661
S -0.867 2.284 7.231
S 4.709 3.388 6.127
S 0.867 9.970 0.455
S 2.976 11.983 -1.558
S 3.388 6.127 4.709
S 0.455 0.867 9.970
S 3.388 9.244 2.976
S 8.140 6.819 5.401
S 0.867 5.401 7.231
S 2.976 3.388 9.244
S -2.976 4.297 9.244
S 6.819 5.401 8.140
S -4.297 9.244 4.709
S 0.455 8.552 5.401
S -1.558 10.661 3.388
S -2.284 7.231 6.819
S -1.558 2.976 11.983
S 5.401 8.140 6.819
```

Results
**ΔE_f (raw)**: -1222 meV per atom
**Space-group type**: No. 230
**DFT total energy**: -5.1948 eV per atom